Record 1
Material: TlTeSe2
Method: DFT, PBE
State: relaxed

It has space group Pmmm (No. 47), with a = 3.894 Å, b = 4.113 Å, c = 7.667 Å, α = 90.00°, β = 90.00° and γ = 90.00°. The inequivalent atoms are Tl at (0.000, 0.000, 0.000), Te at (0.000, 0.500, 0.500) and Se at (0.500, 0.500, 0.243).

The calculation puts the polymorph energy (0 for the lowest one) at 3.7 meV/atom. The value obtained for the total energy is -3.2630 eV per atom.

---

Record 2
Material: Tl2Te2Se
Method: DFT, PBE
State: relaxed

It has space group P4/mbm (No. 127), with a = 8.222 Å, b = 8.222 Å, c = 5.423 Å, α = 90.00°, β = 90.00° and γ = 90.00°. The inequivalent atoms are Tl at (0.216, 0.284, 0.000), Te at (0.117, 0.617, 0.500) and Se at (0.000, 0.000, 0.000).

The calculation puts the polymorph energy (0 for the lowest one) at 198.4 meV/atom. The value obtained for the total energy is -2.8471 eV per atom.

---

Record 3
Material: TlTeSe2
Method: DFT, PBE
State: relaxed

It has space group I-42d (No. 122), with a = 6.393 Å, b = 6.393 Å, c = 15.461 Å, α = 90.00°, β = 90.00° and γ = 90.00°. The inequivalent atoms are Tl at (0.000, 0.000, 0.000), Te at (0.000, 0.000, 0.500) and Se at (0.184, 0.250, 0.625).

The calculation puts the polymorph energy (0 for the lowest one) at 139.8 meV/atom. The value obtained for the total energy is -3.1268 eV per atom.

---

Record 4
Material: TlTe2Se
Method: DFT, PBE
State: relaxed

It has space group P4mm (No. 99), with a = 4.104 Å, b = 4.104 Å, c = 9.214 Å, α = 90.00°, β = 90.00° and γ = 90.00°. The inequivalent atoms are Tl at (0.000, 0.000, 0.000), Te at (0.000, 0.000, 0.379), Te at (0.500, 0.500, 0.470) and Se at (0.500, 0.500, 0.973).

The value obtained for the total energy is -3.0541 eV per atom.

---

Record 5
Material: TlTeSe2
Method: DFT, PBE
State: relaxed

It has space group P4mm (No. 99), with a = 2.985 Å, b = 2.985 Å, c = 13.736 Å, α = 90.00°, β = 90.00° and γ = 90.00°. The inequivalent atoms are Tl at (0.000, 0.000, 0.000), Te at (0.500, 0.500, 0.757), Se at (0.000, 0.000, 0.467) and Se at (0.500, 0.500, 0.182).

The calculation puts the polymorph energy (0 for the lowest one) at 390.6 meV/atom. The value obtained for the total energy is -2.8761 eV per atom.

---

Record 6
Material: TlTe2Se
Method: DFT, PBE
State: relaxed

It has space group Cmmm (No. 65), with a = 6.016 Å, b = 13.902 Å, c = 3.023 Å, α = 90.00°, β = 90.00° and γ = 90.00°. The inequivalent atoms are Tl at (0.000, 0.000, 0.000), Te at (0.250, 0.250, 0.500) and Se at (0.000, 0.500, 0.000).

The value obtained for the total energy is -2.8779 eV per atom.

---

Record 7
Material: TlTe2Se
Method: DFT, PBE
State: relaxed

It has space group F-43m (No. 216), with a = 7.608 Å, b = 7.608 Å, c = 7.608 Å, α = 90.00°, β = 90.00° and γ = 90.00°. The inequivalent atoms are Tl at (0.000, 0.000, 0.000), Te at (0.000, 0.000, 0.500), Te at (0.250, 0.250, 0.250) and Se at (0.250, 0.250, 0.750).

The value obtained for the total energy is -2.8504 eV per atom.

---

Record 8
Material: Tl5TeSe2
Method: DFT, PBE
State: relaxed

It has space group Cmcm (No. 63), with a = 5.661 Å, b = 15.643 Å, c = 16.057 Å, α = 90.00°, β = 90.00° and γ = 90.00°. The inequivalent atoms are Tl at (0.000, 0.048, 0.126), Tl at (0.000, 0.158, 0.750), Tl at (0.000, 0.300, 0.067), Te at (0.000, 0.230, 0.250) and Se at (0.000, 0.135, 0.538).

The value obtained for the total energy is -2.9747 eV per atom.

---

Record 9
Material: Tl12Te5Se
Method: DFT, PBE
State: relaxed

It has space group C2/m (No. 12), with a = 8.157 Å, b = 14.155 Å, c = 12.247 Å, α = 90.00°, β = 102.80° and γ = 90.00°. The inequivalent atoms are Tl at (0.111, 0.158, 0.359), Tl at (0.137, 0.500, 0.359), Tl at (0.215, 0.332, 0.149), Tl at (0.220, 0.000, 0.150), Te at (0.000, 0.165, 0.000), Te at (0.000, 0.333, 0.500), Te at (0.000, 0.500, 0.000) and Se at (0.000, 0.000, 0.500).

The value obtained for the total energy is -2.9351 eV per atom.

---

Record 10
Material: Tl7TeSe3
Method: DFT, PBE
State: relaxed

It has space group C2/m (No. 12), with a = 9.384 Å, b = 11.237 Å, c = 7.250 Å, α = 90.00°, β = 103.27° and γ = 90.00°. The inequivalent atoms are Tl at (0.000, 0.000, 0.000), Tl at (0.167, 0.500, 0.202), Tl at (0.175, 0.281, 0.695), Te at (0.000, 0.000, 0.500), Se at (0.000, 0.281, 0.000) and Se at (0.000, 0.500, 0.500).

The value obtained for the total energy is -3.0114 eV per atom.

---

Record 11
Material: TlTe2Se2
Method: DFT, PBE
State: relaxed

It has space group C2/c (No. 15), with a = 8.578 Å, b = 15.530 Å, c = 6.779 Å, α = 90.00°, β = 120.33° and γ = 90.00°. The inequivalent atoms are Tl at (0.000, 0.128, 0.250), Te at (0.164, 0.339, 0.991), Se at (0.000, 0.096, 0.750) and Se at (0.000, 0.332, 0.250).

The calculation puts the polymorph energy (0 for the lowest one) at 12.3 meV/atom. The value obtained for the total energy is -3.1227 eV per atom.

---

Record 12
Material: Tl5TeSe
Method: DFT, PBE
State: relaxed

It has space group C2/c (No. 15), with a = 6.508 Å, b = 21.652 Å, c = 7.038 Å, α = 90.00°, β = 100.65° and γ = 90.00°. The inequivalent atoms are Tl at (0.000, 0.114, 0.250), Tl at (0.014, 0.300, 0.482), Tl at (0.233, 0.461, 0.154), Te at (0.000, 0.174, 0.750) and Se at (0.000, 0.409, 0.750).

The value obtained for the total energy is -2.8440 eV per atom.

---

no.,formation energy from raw total energies (eV/atom)
1,-0.1437
2,0.0530
3,-0.0076
4,-0.0206
5,0.2432
6,0.1556
7,0.1831
8,-0.2319
9,-0.2913
10,-0.2697
11,0.0010
12,-0.2072